## TbErTmHg (GGA-PBE)

Data for a relaxed TbErTmHg crystal.

```
data_TbErTmHg
_chemical_formula_sum 'Tb4 Er4 Tm4 Hg4'
_cell_length_a 7.5946
_cell_length_b 7.5946
_cell_length_c 7.5946
_cell_angle_alpha 90.00
_cell_angle_beta 90.00
_cell_angle_gamma 90.00
_symmetry_space_group_name_H-M 'F -4 3 m'
_symmetry_Int_Tables_number 216
_symmetry_space_group_name_Hall 'F -4 2 3'
loop_
_atom_site_label
_atom_site_type_symbol
_atom_site_fract_x
_atom_site_fract_y
_atom_site_fract_z
_atom_site_occupancy
Tb1 Tb 0.0000 0.0000 0.0000 1
Er1 Er 0.0000 0.0000 0.5000 1
Tm1 Tm 0.2500 0.2500 0.2500 1
Hg1 Hg 0.2500 0.2500 0.7500 1
```



## YHo3Tm8 (GGA-PBE)

Data for a relaxed YHo3Tm8 crystal.

```
data_YHo3Tm8
_chemical_formula_sum 'Y2 Ho6 Tm16'
_cell_length_a 10.7502
_cell_length_b 11.0991
_cell_length_c 6.2025
_cell_angle_alpha 90.00
_cell_angle_beta 90.00
_cell_angle_gamma 90.00
_symmetry_space_group_name_H-M 'I m m 2'
_symmetry_Int_Tables_number 44
loop_
_symmetry_equiv_pos_as_xyz
'x,y,z'
'-x,-y,z'
'-x,y,z'
'x,-y,z'
'x+1/2,y+1/2,z+1/2'
'-x+1/2,-y+1/2,z+1/2'
'-x+1/2,y+1/2,z+1/2'
'x+1/2,-y+1/2,z+1/2'
loop_
_atom_site_label
_atom_site_type_symbol
_atom_site_fract_x
_atom_site_fract_y
_atom_site_fract_z
_atom_site_occupancy
Y1 Y 0.0000 0.0000 0.0000 1
Ho1 Ho 0.0000 0.2504 0.3344 1
Ho2 Ho 0.0000 0.5000 0.9997 1
Tm1 Tm 0.1664 0.5000 0.4999 1
Tm2 Tm 0.1672 0.0000 0.5005 1
Tm3 Tm 0.1674 0.2507 0.8322 1
```



## Cd2AgSn (GGA-PBE)

Data for a relaxed Cd2AgSn crystal.

```
data_Cd2AgSn
_chemical_formula_sum 'Cd8 Ag4 Sn4'
_cell_length_a 8.1851
_cell_length_b 8.1851
_cell_length_c 5.8587
_cell_angle_alpha 90.00
_cell_angle_beta 90.00
_cell_angle_gamma 90.00
_symmetry_space_group_name_H-M 'I -4 2 d'
_symmetry_Int_Tables_number 122
_symmetry_space_group_name_Hall 'I -4 2bw'
loop_
_atom_site_label
_atom_site_type_symbol
_atom_site_fract_x
_atom_site_fract_y
_atom_site_fract_z
_atom_site_occupancy
Cd1 Cd 0.2306 0.2500 0.1250 1
Ag1 Ag 0.0000 0.0000 0.0000 1
Sn1 Sn 0.0000 0.0000 0.5000 1
```



Short version: ρ = 10.55 8.68 7.64 g cm⁻³, in the order given.
Short version: energy of formation = -52.4 0.3 142.2 meV per atom, in the order given.
Short version: D(E_F) = 20.8 42.7 7.0 states/eV/cell, in the order given.